Record 1
Material: YAlSe2
Method: DFT, GGA-PBEsol
State: relaxed

* formation energy from raw total energies: -1.0591 eV per atom
* total magnetization: 0.000 μB per formula unit

a = 3.695 Å, b = 3.865 Å, c = 6.576 Å
α = 107.09°, β = 106.32°, γ = 90.00°
Positions (direct):
Y: 0.551 0.551 0.102
Se: 0.727 0.227 0.455
Se: 0.957 0.957 0.914
Al: 0.265 0.765 0.529


Record 2
Material: CoPPbO2
Method: DFT, GGA-PBEsol
State: relaxed

* formation energy from raw total energies: 0.7556 eV per atom
* total magnetization: 2.910 μB per formula unit

a = 3.998 Å, b = 3.998 Å, c = 5.644 Å
α = 90.00°, β = 90.00°, γ = 90.00°
Each line ends with the local moment (μB).
Positions (direct):
O: 0.000 0.500 0.000  0.14
O: 0.500 0.000 0.000  0.14
P: 0.000 0.000 0.500  0.11
Co: 0.500 0.500 0.500  2.27
Pb: 0.000 0.000 0.000  0.01


Record 3
Material: LiMg2Zn
Method: DFT, GGA-PBEsol
State: relaxed

* total magnetization: 0.000 μB per formula unit
* E_form: -82 meV/atom

a = 3.247 Å, b = 3.247 Å, c = 6.823 Å
α = 90.00°, β = 90.00°, γ = 90.00°
Positions (direct):
Mg: 0.000 0.000 0.975
Zn: 0.000 0.000 0.526
Mg: 0.500 0.500 0.283
Li: 0.500 0.500 0.715


Record 4
Material: LaZnBr2
Method: DFT, GGA-PBEsol
State: relaxed

* formation energy from raw total energies: -0.9616 eV per atom
* total magnetization: 0.000 μB per formula unit
* energy above the most stable polymorph in this dataset: 65 meV per atom

a = 4.295 Å, b = 4.295 Å, c = 6.109 Å
α = 110.58°, β = 110.58°, γ = 90.00°
Positions (direct):
La: 0.500 0.500 0.000
Zn: 0.250 0.750 0.500
Br: 0.750 0.250 0.500
Br: 0.000 0.000 0.000


Record 5
Material: Rb2Mg
Method: DFT, GGA-PBEsol
State: relaxed

* total magnetization: 0.000 μB per formula unit
* E_form: 256 meV/atom
* energy above the most stable polymorph in this dataset: 43 meV per atom

a = 4.031 Å, b = 6.734 Å, c = 6.734 Å
α = 120.00°, β = 90.00°, γ = 90.00°
Positions (direct):
Rb: 0.500 0.333 0.667
Rb: 0.500 0.667 0.333
Mg: 0.000 0.000 0.000


Record 6
Material: CoMo2Cl
Method: DFT, GGA-PBEsol
State: relaxed

* formation energy from raw total energies: 0.7622 eV per atom
* total magnetization: 1.203 μB per formula unit
* energy above the most stable polymorph in this dataset: 488 meV per atom

a = 2.892 Å, b = 4.403 Å, c = 4.417 Å
α = 90.00°, β = 90.00°, γ = 90.00°
Each line ends with the local moment (μB).
Positions (direct):
Cl: 0.500 0.500 0.000  0.06
Mo: 0.500 0.000 0.500  0.06
Mo: 0.000 0.000 0.000  -0.06
Co: 0.000 0.500 0.500  1.18


Record 7
Material: BaPdO3
Method: DFT, GGA-PBEsol
State: relaxed

* formation energy from raw total energies: -1.3394 eV per atom
* total magnetization: 0.005 μB per formula unit

a = 4.042 Å, b = 4.042 Å, c = 4.042 Å
α = 90.00°, β = 90.00°, γ = 90.00°
Positions (direct):
O: 0.500 0.000 0.000
O: 0.000 0.500 0.000
O: 0.000 0.000 0.500
Ba: 0.500 0.500 0.500
Pd: 0.000 0.000 0.000


Record 8
Material: Na2MgCrF7
Method: DFT, GGA-PBEsol
State: relaxed

* formation energy from raw total energies: -2.9668 eV per atom
* total magnetization: 3.000 μB per formula unit

a = 7.159 Å, b = 7.245 Å, c = 7.245 Å
α = 61.38°, β = 60.39°, γ = 60.39°
Each line ends with the local moment (μB).
Positions (direct):
F: 0.909 0.819 0.364  0.01
F: 0.813 0.820 0.949  0.01
F: 0.250 0.599 0.901  0.00
Na: 0.500 0.000 0.500  0.00
Mg: 0.000 0.500 0.000  0.00
F: 0.082 0.551 0.680  0.01
F: 0.313 0.449 0.320  0.01
F: 0.409 0.864 0.319  0.01
F: 0.687 0.551 0.680  0.01
Na: 0.000 0.000 0.000  0.00
F: 0.091 0.181 0.636  0.01
Cr: 0.500 0.000 0.000  2.81
Na: 0.000 0.000 0.500  0.00
Na: 0.500 0.500 0.500  0.00
F: 0.591 0.136 0.681  0.01
Mg: 0.500 0.500 0.000  0.00
F: 0.918 0.449 0.320  0.01
F: 0.750 0.401 0.099  0.00
F: 0.418 0.820 0.949  0.01
F: 0.582 0.180 0.051  0.01
Cr: 0.000 0.500 0.500  2.81
F: 0.187 0.180 0.051  0.01